1.
This record from the Alexandria database describes CrW2Br after structural relaxation. The functional is PBE.

Unit cell a=3.7340 b=3.7340 c=10.5806 alpha=79.84 beta=79.84 gamma=90.00
Each line ends with the local moment (μB).
Element x y z (fractional)
Br  0.0000  0.0000  0.0000  -0.03
Br  0.7500  0.2500  0.5000  -0.03
Cr  0.5000  0.5000  0.0000  3.11
Cr  0.2500  0.7500  0.5000  3.12
W  0.6122  0.1250  0.2500  -0.17
W  0.8750  0.8622  0.7500  -0.18
W  0.3750  0.3878  0.7500  -0.18
W  0.1378  0.6250  0.2500  -0.18

Calculated values
* ΔE_f (raw): 1.202 eV/atom
* volume: 17.9 Å³ per atom
* M_tot: 2.90 μB per formula unit
* SG: I-42d, No. 122
* energy above the lowest structure with this stoichiometry: 664 meV per atom

2.
This record from the Alexandria database describes CrWBr after structural relaxation. The functional is PBE.

Unit cell a=4.1583 b=4.1583 c=4.1583 alpha=60.00 beta=60.00 gamma=60.00
Each line ends with the local moment (μB).
Element x y z (fractional)
Br  0.5000  0.5000  0.5000  0.01
W  0.0000  0.0000  0.0000  0.13
Cr  0.2500  0.2500  0.2500  -0.03

Calculated values
* ΔE_f (raw): 1.274 eV/atom
* volume: 16.9 Å³ per atom
* M_tot: 0.14 μB per formula unit
* SG: F-43m, No. 216
* energy above the lowest structure with this stoichiometry: 742 meV per atom